[1]
GGA-PBE YBi2C2, optimized geometry; energy = -5.914 eV per atom; ΔE to the lowest computed polymorph = 0.000 eV/atom; total magnetic moment = 0.0 μB/cell; N(E_F) = 0.673 states/eV per atom; formation energy from the elements = 620.3 meV per atom; symmetry = I4/mmm, No. 139
1.0
-2.182 2.182 5.573
2.182 -2.182 5.573
2.182 2.182 -5.573
Y Bi C
1 2 2
direct
0.000 0.000 0.000
0.250 0.750 0.500
0.750 0.250 0.500
0.442 0.442 0.000
0.558 0.558 0.000

[2]
GGA-PBE LiP2Au, optimized geometry; energy = -4.262 eV per atom; ΔE to the lowest computed polymorph = 0.092 eV/atom; total magnetic moment = 0.0 μB/cell; N(E_F) = 0.017 states/eV per atom; formation energy from the elements = -259.6 meV per atom; symmetry = P1, No. 1
1.0
5.684 0.000 0.000
2.398 5.254 0.000
2.828 -0.059 5.052
Li P Au
2 4 2
direct
0.000 0.000 0.000
0.317 0.315 0.519
0.495 0.936 0.198
0.566 0.905 0.788
0.684 0.480 0.843
0.718 0.510 0.207
0.018 0.945 0.495
0.207 0.476 0.026

[3]
GGA-PBE YFe2W, optimized geometry; energy = -8.478 eV per atom; ΔE to the lowest computed polymorph = 0.447 eV/atom; total magnetic moment = 3.1 μB/cell; N(E_F) = 1.328 states/eV per atom; formation energy from the elements = 607.7 meV per atom; symmetry = I-4m2, No. 119
1.0
-1.876 1.876 4.630
1.876 -1.876 4.630
1.876 1.876 -4.630
Y Fe W
1 2 1
direct
0.000 0.000 0.000
0.250 0.750 0.500
0.500 0.500 0.000
0.750 0.250 0.500

[4]
GGA-PBE Nd4GaCCl2, optimized geometry; energy = -5.337 eV per atom; total magnetic moment = 0.0 μB/cell; N(E_F) = 0.288 states/eV per atom; symmetry = P2/m, No. 10
1.0
7.244 0.000 0.000
0.000 3.887 0.000
-2.272 0.000 7.138
Nd Ga C Cl
4 1 1 2
direct
0.209 0.000 0.197
0.226 0.500 0.780
0.774 0.500 0.220
0.791 0.000 0.803
0.500 0.000 0.000
0.000 0.500 0.000
0.000 0.000 0.500
0.500 0.500 0.500